1.
# NaScBSb2, optimized geometry, DFT PBE-GGA
# - ΔE_f (raw) (eV/f.u.) = 5.7
data_NaScBSb2
_space_group_name_H-M_alt 'P 4/m m m'
_space_group_IT_number 123
_space_group_name_Hall '-P 4 2'
_cell_length_a 5.394
_cell_length_b 5.394
_cell_length_c 5.945
_cell_angle_alpha 90.00
_cell_angle_beta 90.00
_cell_angle_gamma 90.00
loop_
_atom_site_label
_atom_site_fract_x
_atom_site_fract_y
_atom_site_fract_z
Na1 0.000 0.000 0.000
Sc1 0.000 0.000 0.500
B1 0.500 0.500 0.000
Sb1 0.000 0.500 0.500

***

2.
# Na2BSbSe4, optimized geometry, DFT PBE-GGA
# - ΔE_f (raw) (eV/f.u.) = -4.0
data_Na2BSbSe4
_space_group_name_H-M_alt 'P m n 21'
_space_group_IT_number 31
_cell_length_a 9.092
_cell_length_b 7.711
_cell_length_c 6.142
_cell_angle_alpha 90.00
_cell_angle_beta 90.00
_cell_angle_gamma 90.00
loop_
_space_group_symop_operation_xyz
'x,y,z'
'-x+1/2,-y,z+1/2'
'-x,y,z'
'x+1/2,-y,z+1/2'
loop_
_atom_site_label
_atom_site_fract_x
_atom_site_fract_y
_atom_site_fract_z
Na1 0.250 0.165 0.000
B1 0.000 0.352 0.545
Sb1 0.000 0.689 0.020
Se1 0.000 0.372 0.887
Se2 0.000 0.610 0.440
Se3 0.186 0.210 0.470

***

3.
# Na2Sc2B, optimized geometry, DFT PBE-GGA
# - distance to the lowest polymorph of the same formula (eV per atom) = 0.000
# - ΔH_f (0 K) (meV per atom) = 428
data_Na2Sc2B
_space_group_name_H-M_alt 'P 4/m b m'
_space_group_IT_number 127
_space_group_name_Hall '-P 4 2ab'
_cell_length_a 6.486
_cell_length_b 6.486
_cell_length_c 6.070
_cell_angle_alpha 90.00
_cell_angle_beta 90.00
_cell_angle_gamma 90.00
loop_
_atom_site_label
_atom_site_fract_x
_atom_site_fract_y
_atom_site_fract_z
Na1 0.175 0.325 0.000
Sc1 0.180 0.680 0.500
B1 0.000 0.000 0.500

***

4.
# Na3ScB, optimized geometry, DFT PBE-GGA
# - distance to the lowest polymorph of the same formula (eV per atom) = 0.000
# - ΔH_f (0 K) (meV per atom) = 1036
data_Na3ScB
_space_group_name_H-M_alt 'P m -3 m'
_space_group_IT_number 221
_space_group_name_Hall '-P 4 2 3'
_cell_length_a 5.095
_cell_length_b 5.095
_cell_length_c 5.095
_cell_angle_alpha 90.00
_cell_angle_beta 90.00
_cell_angle_gamma 90.00
loop_
_atom_site_label
_atom_site_fract_x
_atom_site_fract_y
_atom_site_fract_z
Na1 0.000 0.000 0.500
Sc1 0.500 0.500 0.500
B1 0.000 0.000 0.000

***

5.
# Na2Sc2B, optimized geometry, DFT PBE-GGA
# - distance to the lowest polymorph of the same formula (eV per atom) = 0.230
# - ΔH_f (0 K) (meV per atom) = 658
data_Na2Sc2B
_space_group_name_H-M_alt 'I 4/m m m'
_space_group_IT_number 139
_space_group_name_Hall '-I 4 2'
_cell_length_a 3.406
_cell_length_b 3.406
_cell_length_c 18.063
_cell_angle_alpha 90.00
_cell_angle_beta 90.00
_cell_angle_gamma 90.00
loop_
_atom_site_label
_atom_site_fract_x
_atom_site_fract_y
_atom_site_fract_z
Na1 0.000 0.500 0.250
Sc1 0.000 0.000 0.074
B1 0.000 0.000 0.500

***

6.
# Na3ScB, optimized geometry, DFT PBE-GGA
# - distance to the lowest polymorph of the same formula (eV per atom) = 0.811
# - ΔH_f (0 K) (meV per atom) = 1847
data_Na3ScB
_space_group_name_H-M_alt 'P m -3 m'
_space_group_IT_number 221
_space_group_name_Hall '-P 4 2 3'
_cell_length_a 6.157
_cell_length_b 6.157
_cell_length_c 6.157
_cell_angle_alpha 90.00
_cell_angle_beta 90.00
_cell_angle_gamma 90.00
loop_
_atom_site_label
_atom_site_fract_x
_atom_site_fract_y
_atom_site_fract_z
Na1 0.000 0.000 0.500
Sc1 0.000 0.000 0.000
B1 0.500 0.500 0.500

***

7.
# NaScB12, optimized geometry, DFT PBE-GGA
# - ΔH_f (0 K) (meV per atom) = -171
data_NaScB12
_space_group_name_H-M_alt 'P 4/m m m'
_space_group_IT_number 123
_space_group_name_Hall '-P 4 2'
_cell_length_a 4.112
_cell_length_b 4.112
_cell_length_c 8.238
_cell_angle_alpha 90.00
_cell_angle_beta 90.00
_cell_angle_gamma 90.00
loop_
_atom_site_label
_atom_site_fract_x
_atom_site_fract_y
_atom_site_fract_z
Na1 0.000 0.000 0.000
Sc1 0.000 0.000 0.500
B1 0.200 0.500 0.254
B2 0.500 0.500 0.102
B3 0.500 0.500 0.402

***

8.
# NaSc2B9, optimized geometry, DFT PBE-GGA
# - ΔH_f (0 K) (meV per atom) = -209
data_NaSc2B9
_space_group_name_H-M_alt 'R -3 m'
_space_group_IT_number 166
_space_group_name_Hall '-R 3 2"'
_cell_length_a 4.5880
_cell_length_b 4.5880
_cell_length_c 23.4502
_cell_angle_alpha 90.00
_cell_angle_beta 90.00
_cell_angle_gamma 120.00
loop_
_atom_site_label
_atom_site_fract_x
_atom_site_fract_y
_atom_site_fract_z
Na1 0.0000 0.0000 0.0000
Sc1 0.0000 0.0000 0.1294
B1 0.0000 0.0000 0.2387
B2 0.0000 0.0000 0.5000
B3 0.0900 0.5450 0.0996

***

9.
# NaScZnB2, optimized geometry, DFT PBE-GGA
# - ΔH_f (0 K) (meV per atom) = 1949
data_NaScZnB2
_space_group_name_H-M_alt 'P 4/m m m'
_space_group_IT_number 123
_space_group_name_Hall '-P 4 2'
_cell_length_a 4.379
_cell_length_b 4.379
_cell_length_c 4.576
_cell_angle_alpha 90.00
_cell_angle_beta 90.00
_cell_angle_gamma 90.00
loop_
_atom_site_label
_atom_site_fract_x
_atom_site_fract_y
_atom_site_fract_z
Na1 0.000 0.000 0.000
Sc1 0.000 0.000 0.500
Zn1 0.500 0.500 0.500
B1 0.000 0.500 0.000

***

10.
# NaBSe4, optimized geometry, DFT PBE-GGA
# - distance to the lowest polymorph of the same formula (eV per atom) = 0.050
# - ΔE_f (raw) (eV/f.u.) = -1.2
data_NaBSe4
_space_group_name_H-M_alt 'C 1 2/c 1'
_space_group_IT_number 15
_cell_length_a 6.353
_cell_length_b 19.777
_cell_length_c 6.984
_cell_angle_alpha 90.00
_cell_angle_beta 112.44
_cell_angle_gamma 90.00
loop_
_space_group_symop_operation_xyz
'x,y,z'
'-x,-y,-z'
'-x,y,-z+1/2'
'x,-y,z+1/2'
'x+1/2,y+1/2,z'
'-x+1/2,-y+1/2,-z'
'-x+1/2,y+1/2,-z+1/2'
'x+1/2,-y+1/2,z+1/2'
loop_
_atom_site_label
_atom_site_fract_x
_atom_site_fract_y
_atom_site_fract_z
Na1 0.000 0.198 0.250
B1 0.000 0.357 0.750
Se1 0.129 0.398 0.555
Se2 0.186 0.313 0.033

***

11.
# Na8B3Se8, optimized geometry, DFT PBE-GGA
# - ΔE_f (raw) (eV/f.u.) = -12.6
data_Na8B3Se8
_space_group_name_H-M_alt 'C 1 m 1'
_space_group_IT_number 8
_cell_length_a 22.015
_cell_length_b 5.828
_cell_length_c 8.497
_cell_angle_alpha 90.00
_cell_angle_beta 107.70
_cell_angle_gamma 90.00
loop_
_space_group_symop_operation_xyz
'x,y,z'
'x,-y,z'
'x+1/2,y+1/2,z'
'x+1/2,-y+1/2,z'
loop_
_atom_site_label
_atom_site_fract_x
_atom_site_fract_y
_atom_site_fract_z
Na1 0.000 0.000 0.000
Na2 0.030 0.500 0.343
Na3 0.101 0.500 0.904
Na4 0.170 0.000 0.575
Na5 0.247 0.000 0.059
Na6 0.309 0.500 0.707
Na7 0.374 0.500 0.286
Na8 0.412 0.000 0.626
B1 0.022 0.000 0.615
B2 0.236 0.500 0.358
B3 0.394 0.000 0.014
Se1 0.034 0.000 0.395
Se2 0.097 0.000 0.819
Se3 0.179 0.500 0.489
Se4 0.230 0.500 0.128
Se5 0.318 0.000 0.812
Se6 0.384 0.000 0.235
Se7 0.435 0.500 0.637
Se8 0.481 0.000 0.989

***

12.
# Na3BSe3, optimized geometry, DFT PBE-GGA
# - ΔE_f (raw) (eV/f.u.) = -4.6
data_Na3BSe3
_space_group_name_H-M_alt 'P n m a'
_space_group_IT_number 62
_cell_length_a 12.177
_cell_length_b 3.871
_cell_length_c 13.175
_cell_angle_alpha 90.00
_cell_angle_beta 90.00
_cell_angle_gamma 90.00
loop_
_space_group_symop_operation_xyz
'x,y,z'
'-x,-y,-z'
'-x+1/2,-y,z+1/2'
'x+1/2,y,-z+1/2'
'x+1/2,-y+1/2,-z+1/2'
'-x+1/2,y+1/2,z+1/2'
'-x,y+1/2,-z'
'x,-y+1/2,z'
loop_
_atom_site_label
_atom_site_fract_x
_atom_site_fract_y
_atom_site_fract_z
Na1 0.082 0.250 0.106
Na2 0.128 0.750 0.488
Na3 0.245 0.750 0.790
B1 0.081 0.250 0.713
Se1 0.020 0.250 0.332
Se2 0.097 0.250 0.867
Se3 0.220 0.250 0.626

***

13.
# Na2BSe4, optimized geometry, DFT PBE-GGA
# - ΔE_f (raw) (eV/f.u.) = -0.2
data_Na2BSe4
_space_group_name_H-M_alt 'I 4/m m m'
_space_group_IT_number 139
_space_group_name_Hall '-I 4 2'
_cell_length_a 4.948
_cell_length_b 4.948
_cell_length_c 13.773
_cell_angle_alpha 90.00
_cell_angle_beta 90.00
_cell_angle_gamma 90.00
loop_
_atom_site_label
_atom_site_fract_x
_atom_site_fract_y
_atom_site_fract_z
Na1 0.000 0.000 0.133
B1 0.000 0.000 0.500
Se1 0.000 0.000 0.355
Se2 0.000 0.500 0.000

***

14.
# Na3B2Se4, optimized geometry, DFT PBE-GGA
# - distance to the lowest polymorph of the same formula (eV per atom) = 0.000
# - ΔE_f (raw) (eV/f.u.) = -4.5
data_Na3B2Se4
_space_group_name_H-M_alt 'C 1 2/c 1'
_space_group_IT_number 15
_cell_length_a 14.519
_cell_length_b 9.321
_cell_length_c 5.988
_cell_angle_alpha 90.00
_cell_angle_beta 91.18
_cell_angle_gamma 90.00
loop_
_space_group_symop_operation_xyz
'x,y,z'
'-x,-y,-z'
'-x,y,-z+1/2'
'x,-y,z+1/2'
'x+1/2,y+1/2,z'
'-x+1/2,-y+1/2,-z'
'-x+1/2,y+1/2,-z+1/2'
'x+1/2,-y+1/2,z+1/2'
loop_
_atom_site_label
_atom_site_fract_x
_atom_site_fract_y
_atom_site_fract_z
Na1 0.000 0.071 0.250
Na2 0.129 0.371 0.521
B1 0.197 0.213 0.003
Se1 0.083 0.322 0.013
Se2 0.181 0.003 0.502

***

15.
# Na2BSe5, optimized geometry, DFT PBE-GGA
# - ΔE_f (raw) (eV/f.u.) = -2.7
data_Na2BSe5
_space_group_name_H-M_alt 'P 1'
_space_group_IT_number 1
_cell_length_a 5.370
_cell_length_b 6.164
_cell_length_c 7.316
_cell_angle_alpha 68.17
_cell_angle_beta 71.44
_cell_angle_gamma 83.73
loop_
_space_group_symop_operation_xyz
'x,y,z'
loop_
_atom_site_label
_atom_site_fract_x
_atom_site_fract_y
_atom_site_fract_z
Na1 0.000 0.000 0.000
Na2 0.486 0.456 0.071
B1 0.185 0.709 0.610
Se1 0.051 0.508 0.907
Se2 0.102 0.655 0.376
Se3 0.151 0.063 0.561
Se4 0.575 0.636 0.419
Se5 0.620 0.119 0.449

***

16.
# NaBSe2, optimized geometry, DFT PBE-GGA
# - ΔE_f (raw) (eV/f.u.) = -2.0
data_NaBSe2
_space_group_name_H-M_alt 'I -4 2 d'
_space_group_IT_number 122
_space_group_name_Hall 'I -4 2bw'
_cell_length_a 6.267
_cell_length_b 6.267
_cell_length_c 8.213
_cell_angle_alpha 90.00
_cell_angle_beta 90.00
_cell_angle_gamma 90.00
loop_
_atom_site_label
_atom_site_fract_x
_atom_site_fract_y
_atom_site_fract_z
Na1 0.000 0.000 0.000
B1 0.000 0.000 0.500
Se1 0.151 0.750 0.625

***

17.
# NaBSe2, optimized geometry, DFT PBE-GGA
# - ΔE_f (raw) (eV/f.u.) = -1.6
data_NaBSe2
_space_group_name_H-M_alt 'R -3 m'
_space_group_IT_number 166
_space_group_name_Hall '-R 3 2"'
_cell_length_a 4.8815
_cell_length_b 4.8815
_cell_length_c 18.8521
_cell_angle_alpha 90.00
_cell_angle_beta 90.00
_cell_angle_gamma 120.00
loop_
_atom_site_label
_atom_site_fract_x
_atom_site_fract_y
_atom_site_fract_z
Na1 0.0000 0.0000 0.0000
B1 0.0000 0.0000 0.5000
Se1 0.0000 0.0000 0.4036

***

18.
# NaB4Se7, optimized geometry, DFT PBE-GGA
# - ΔE_f (raw) (eV/f.u.) = -2.3
data_NaB4Se7
_space_group_name_H-M_alt 'P m n 21'
_space_group_IT_number 31
_cell_length_a 14.031
_cell_length_b 5.892
_cell_length_c 5.645
_cell_angle_alpha 90.00
_cell_angle_beta 90.00
_cell_angle_gamma 90.00
loop_
_space_group_symop_operation_xyz
'x,y,z'
'-x+1/2,-y,z+1/2'
'-x,y,z'
'x+1/2,-y,z+1/2'
loop_
_atom_site_label
_atom_site_fract_x
_atom_site_fract_y
_atom_site_fract_z
Na1 0.000 0.172 0.000
B1 0.124 0.666 0.638
B2 0.248 0.173 0.621
Se1 0.000 0.820 0.516
Se2 0.123 0.711 0.003
Se3 0.124 0.334 0.531
Se4 0.244 0.834 0.503